No. 1
A geometry-optimized La8Ce2Nd structure, computed with PBE-GGA.

Cell: 5.6989 8.4191 16.3354 Å, 90.00 90.00 90.00°
Space group Immm (No. 71)
Asymmetric unit:
La: 0.0000 0.0000 0.1579 [4 per cell]
La: 0.0000 0.2017 0.3585 [8 per cell]
La: 0.0000 0.2991 0.0000 [4 per cell]
Ce: 0.0000 0.5000 0.1993 [4 per cell]
Nd: 0.0000 0.5000 0.5000 [2 per cell]

Output
energy: -109.10 eV/cell
E_form: 1.5 eV/f.u.

=====

No. 2
A geometry-optimized SiOsW2 structure, computed with PBE-GGA.

Cell: 4.6161 4.6161 2.8161 Å, 90.00 90.00 90.00°
Space group P4/mmm (No. 123)
Asymmetric unit:
Si: 0.0000 0.0000 0.0000 [1 per cell]
Os: 0.5000 0.5000 0.0000 [1 per cell]
W: 0.0000 0.5000 0.5000 [2 per cell]

Output
energy: -41.54 eV/cell
formation energy without anion corrections: 255.9 meV per atom

=====

No. 3
A geometry-optimized SmAlSn2 structure, computed with PBE-GGA.

Cell: 4.6062 4.6062 4.6426 Å, 90.00 90.00 90.00°
Space group P4/mmm (No. 123)
Asymmetric unit:
Sm: 0.0000 0.0000 0.0000 [1 per cell]
Al: 0.5000 0.5000 0.0000 [1 per cell]
Sn: 0.0000 0.5000 0.5000 [2 per cell]

Output
energy: -18.15 eV/cell
E_form: -1.7 eV/f.u.

=====

No. 4
A geometry-optimized La3InRh structure, computed with PBE-GGA.

Cell: 5.5320 5.5320 5.5320 Å, 90.00 90.00 90.00°
Space group Pm-3m (No. 221)
Asymmetric unit:
La: 0.0000 0.0000 0.5000 [3 per cell]
In: 0.5000 0.5000 0.5000 [1 per cell]
Rh: 0.0000 0.0000 0.0000 [1 per cell]

Output
energy relative to the lowest polymorph listed for this composition: 0.0640 eV per atom
energy: -27.04 eV/cell
E_form: -2.2 eV/f.u.

=====

No. 5
A geometry-optimized Tb2DyY8 structure, computed with PBE-GGA.

Cell: 9.0410 16.1444 5.8867 Å, 90.00 123.02 90.00°
Space group C2/m (No. 12)
Asymmetric unit:
Tb: 0.0000 0.1927 0.0000 [4 per cell]
Dy: 0.0000 0.5000 0.5000 [2 per cell]
Y: 0.0000 0.2935 0.5000 [4 per cell]
Y: 0.0742 0.0000 0.2945 [4 per cell]
Y: 0.2158 0.3828 0.1735 [8 per cell]

Output
energy relative to the lowest polymorph listed for this composition: 0.1380 eV per atom
energy: -127.62 eV/cell
E_form: 1.8 eV/f.u.